(1)
Material: RbAgPdS3
Method: DFT, PBE-GGA
State: optimized geometry

POSCAR file:
```
RbAgPdS3
1.0
13.268 0.000 0.000
0.000 3.835 0.000
0.000 0.000 11.087
Rb Ag Pd S
4 4 4 12
Cartesian
1.934 0.959 0.484
4.700 2.876 6.028
8.568 0.959 5.059
11.333 2.876 10.603
3.114 2.876 3.127
3.519 0.959 8.670
9.748 2.876 2.417
10.153 0.959 7.961
0.314 2.876 7.054
6.320 0.959 1.511
6.948 2.876 9.576
12.954 0.959 4.033
0.732 2.876 2.914
1.288 0.959 5.837
1.962 2.876 8.810
4.672 0.959 3.266
5.346 2.876 0.293
5.902 0.959 8.458
7.366 2.876 2.629
7.922 0.959 10.794
8.596 2.876 7.821
11.306 0.959 2.277
11.979 2.876 5.251
12.535 0.959 8.173
```

Summary:
* energy above the most stable polymorph in this dataset: 0.0000 eV per atom

(2)
Material: PrHoNi4
Method: DFT, PBE-GGA
State: optimized geometry

POSCAR file:
```
PrHoNi4
1.0
5.469 0.000 0.000
-2.734 4.736 0.000
0.000 0.000 7.934
Pr Ho Ni
2 2 8
Cartesian
0.000 0.000 0.000
0.000 0.000 3.967
0.000 3.157 0.000
2.734 1.579 0.000
-1.367 2.368 2.162
-1.367 2.368 5.772
0.000 3.157 3.967
2.734 0.000 2.162
2.734 0.000 5.772
1.367 2.368 2.162
1.367 2.368 5.772
2.734 1.579 3.967
```

Summary:
* energy above the most stable polymorph in this dataset: 0.3319 eV per atom
* formation energy: -0.0356 eV/atom

(3)
Material: CsFe2Se3
Method: DFT, PBE-GGA
State: optimized geometry

POSCAR file:
```
CsFe2Se3
1.0
16.337 0.000 0.000
0.000 3.686 0.000
0.000 0.000 9.512
Cs Fe Se
4 8 12
Cartesian
3.985 0.921 0.543
4.184 2.764 5.299
12.153 0.921 4.213
12.352 2.764 8.970
0.177 2.764 0.920
0.222 0.921 3.126
7.947 2.764 7.883
7.991 0.921 5.676
8.346 2.764 3.836
8.391 0.921 1.630
16.115 2.764 6.386
16.160 0.921 8.593
1.079 0.921 5.415
1.378 2.764 8.261
1.776 2.764 2.622
6.393 0.921 7.378
6.790 0.921 3.504
7.090 2.764 0.659
9.248 0.921 8.853
9.547 2.764 6.008
9.944 2.764 2.134
14.561 0.921 6.890
14.959 0.921 1.252
15.258 2.764 4.097
```

Asked for raw total energy across the records above, the calculation gives -3.92 -5.31 -5.12 eV/atom in order.